A plane-wave DFT calculation with PBE was carried out for a relaxed LiU5S6 crystal.

Cell and atoms, written as POSCAR:
```
LiU5S6
1.0
3.3442 -5.8012 0.0000
3.3442 5.8012 0.0000
-2.2496 0.0000 6.2280
Li U S
1 5 6
direct
0.0000 0.0000 0.0000
0.1699 0.8301 0.5000
0.3345 0.6655 0.0000
0.5000 0.5000 0.5000
0.6655 0.3345 0.0000
0.8301 0.1699 0.5000
0.0793 0.4023 0.2404
0.2406 0.2406 0.7530
0.4023 0.0793 0.2404
0.5977 0.9207 0.7596
0.7594 0.7594 0.2470
0.9207 0.5977 0.7596
```

raw formation energy	-1.355	eV/atom
electronic total energy	-8.282	eV per atom
symmetry	C2/m